The following is a DFT calculation (PBE-GGA) of a relaxed SrLaCr2 crystal.

Summary:
V = 27.41 Å³ per atom
Final energy = -5.914 eV/atom
ΔE_f = 0.550 eV/atom
Relative energy among the computed polymorphs = 47 meV per atom
Spin magnetization = 0.002 μB/atom

Unit cell a=4.086 b=5.556 c=9.660 alpha=90.00 beta=90.00 gamma=90.00
Space group Imm2 (No. 44)
Symmetry-distinct sites (fractional):
Sr 0.000 0.000 0.000 [2 per cell]
La 0.000 0.500 0.192 [2 per cell]
Cr 0.000 0.000 0.412 [2 per cell]
Cr 0.000 0.500 0.786 [2 per cell]